(1)
First-principles (PBE) data for a relaxed structure of TbDyBi2Se2, as listed in OQMD.

## Properties
Symmetry: P4mm
VASP energy in eV per atom: -5.232

Unit cell a=4.2749 b=4.2749 c=8.9474 alpha=90.00 beta=90.00 gamma=90.00
With the nearest neighbours (Å) after each atom.
Fractional coordinates of all 6 atoms:
Bi: 0.5000 0.0000 0.0005  4 Bi 3.02
Bi: 0.0000 0.5000 0.0005  4 Bi 3.02
Se: 0.0000 0.0000 0.3731  1 Tb 2.89, 4 Dy 3.08
Se: 0.5000 0.5000 0.6257  1 Dy 2.87, 4 Tb 3.09
Dy: 0.5000 0.5000 0.3045  5 Se 2.87-3.08
Tb: 0.0000 0.0000 0.6958  5 Se 2.89-3.09

***

(2)
First-principles (PBE) data for a relaxed structure of Sm3Dy2Bi3, as listed in OQMD.

## Properties
Symmetry: P6_3/mcm
VASP energy in eV per atom: -5.183

Unit cell a=9.2757 b=9.2757 c=6.4573 alpha=90.00 beta=90.00 gamma=120.00
With the nearest neighbours (Å) after each atom.
Fractional coordinates of all 16 atoms:
Sm: 0.2453 0.2453 0.2500  5 Bi 3.18-3.50
Sm: 0.2453 0.0000 0.7500  5 Bi 3.18-3.50
Sm: 0.0000 0.7547 0.2500  5 Bi 3.18-3.50
Sm: 0.7547 0.7547 0.7500  5 Bi 3.18-3.50
Sm: 0.7547 0.0000 0.2500  5 Bi 3.18-3.50
Sm: 0.0000 0.2453 0.7500  5 Bi 3.18-3.50
Bi: 0.0000 0.6085 0.7500  5 Sm 3.18-3.50, 4 Dy 3.28
Bi: 0.3915 0.0000 0.2500  5 Sm 3.18-3.50, 4 Dy 3.28
Bi: 0.6085 0.0000 0.7500  5 Sm 3.18-3.50, 4 Dy 3.28
Bi: 0.3915 0.3915 0.7500  5 Sm 3.18-3.50, 4 Dy 3.28
Bi: 0.0000 0.3915 0.2500  5 Sm 3.18-3.50, 4 Dy 3.28
Bi: 0.6085 0.6085 0.2500  5 Sm 3.18-3.50, 4 Dy 3.28
Dy: 0.3333 0.6667 0.0000  2 Dy 3.23, 6 Bi 3.28
Dy: 0.6667 0.3333 0.5000  2 Dy 3.23, 6 Bi 3.28
Dy: 0.6667 0.3333 0.0000  2 Dy 3.23, 6 Bi 3.28
Dy: 0.3333 0.6667 0.5000  2 Dy 3.23, 6 Bi 3.28

***

(3)
First-principles (PBE) data for a relaxed structure of SmDy2Bi3, as listed in OQMD.

## Properties
Symmetry: P-3m1
VASP energy in eV per atom: -5.241

Unit cell a=4.4889 b=4.4889 c=11.0013 alpha=90.00 beta=90.00 gamma=120.00
With the nearest neighbours (Å) after each atom.
Fractional coordinates of all 6 atoms:
Bi: 0.6667 0.3333 0.6713  3 Dy 3.16, 3 Sm 3.20
Bi: 0.3333 0.6667 0.3287  3 Dy 3.16, 3 Sm 3.20
Bi: 0.0000 0.0000 0.0000  6 Dy 3.16
Dy: 0.6667 0.3333 0.1649  6 Bi 3.16
Dy: 0.3333 0.6667 0.8351  6 Bi 3.16
Sm: 0.0000 0.0000 0.5000  6 Bi 3.20

***

(4)
First-principles (PBE) data for a relaxed structure of SmDyBi2Te2, as listed in OQMD.

## Properties
Symmetry: P4mm
VASP energy in eV per atom: -4.976

Unit cell a=4.4133 b=4.4133 c=9.4183 alpha=90.00 beta=90.00 gamma=90.00
With the nearest neighbours (Å) after each atom.
Fractional coordinates of all 6 atoms:
Te: 0.0000 0.0000 0.3717  4 Dy 3.22, 1 Sm 3.25
Te: 0.5000 0.5000 0.6222  1 Dy 3.17, 4 Sm 3.24
Dy: 0.5000 0.5000 0.2854  5 Te 3.17-3.22, 4 Bi 3.46
Sm: 0.0000 0.0000 0.7164  5 Te 3.24-3.25, 4 Bi 3.48
Bi: 0.5000 0.0000 0.0021  4 Bi 3.12, 2 Dy 3.46, 2 Sm 3.48
Bi: 0.0000 0.5000 0.0021  4 Bi 3.12, 2 Dy 3.46, 2 Sm 3.48